Below is a PBEsol-optimized structure of AlCo2Ag, with properties calculated at the SCAN level.

- ΔE_f: 0.0838 eV/atom
- Fermi-level density of states: 4.88 states/eV/cell
- Final energy: -146.78 eV/cell

```
data_AlCo2Ag
_chemical_formula_sum 'Al2 Co4 Ag2'
_cell_length_a 8.6610
_cell_length_b 2.7280
_cell_length_c 4.4464
_cell_angle_alpha 90.00
_cell_angle_beta 104.63
_cell_angle_gamma 90.00
_space_group_name_H-M_alt 'C 1 2/m 1'
_space_group_IT_number 12
loop_
_space_group_symop_operation_xyz
'x,y,z'
'-x,-y,-z'
'-x,y,-z'
'x,-y,z'
'x+1/2,y+1/2,z'
'-x+1/2,-y+1/2,-z'
'-x+1/2,y+1/2,-z'
'x+1/2,-y+1/2,z'
loop_
_atom_site_label
_atom_site_fract_x
_atom_site_fract_y
_atom_site_fract_z
Al1 0.0000 0.0000 0.0000
Co1 0.2402 0.5000 0.2259
Ag1 0.0000 0.5000 0.5000
```


Below is a PBEsol-optimized structure of AlCo2Ag2, with properties calculated at the SCAN level.

- ΔE_f: 0.5396 eV/atom
- Fermi-level density of states: 6.13 states/eV/cell
- Final energy: -204.79 eV/cell

```
data_AlCo2Ag2
_chemical_formula_sum 'Al2 Co4 Ag4'
_cell_length_a 3.6147
_cell_length_b 3.6147
_cell_length_c 11.8147
_cell_angle_alpha 90.00
_cell_angle_beta 90.00
_cell_angle_gamma 90.00
_space_group_name_H-M_alt 'I 4/m m m'
_space_group_IT_number 139
_space_group_name_Hall '-I 4 2'
loop_
_atom_site_label
_atom_site_fract_x
_atom_site_fract_y
_atom_site_fract_z
Al1 0.0000 0.0000 0.0000
Co1 0.0000 0.0000 0.4115
Ag1 0.0000 0.5000 0.2500
```